! GGA-PBE Zr2AlPt, relaxed; values from VASP
&SYSTEM
  ibrav = 0, nat = 4, ntyp = 3
/
ATOMIC_SPECIES
Zr 91.22 Zr.upf
Al 26.98 Al.upf
Pt 195.08 Pt.upf
CELL_PARAMETERS angstrom
0.000 3.351 3.351
3.351 0.000 3.351
3.351 3.351 0.000
ATOMIC_POSITIONS crystal
Zr 0.000 0.000 0.000
Zr 0.250 0.250 0.250
Al 0.500 0.500 0.500
Pt 0.750 0.750 0.750
! - Space-group type: F-43m (216)
! - Crystal system: cubic
! - ρ: 8.9 g/cm³
! - Volume: 18.81 Å³/atom
! - ΔH_f (0 K): -159 kJ/mol of formula units
! - Total moment: 2.99 μB per cell

! GGA-PBE NaTaCl6, relaxed; values from VASP
&SYSTEM
  ibrav = 0, nat = 32, ntyp = 3
/
ATOMIC_SPECIES
Na 22.99 Na.upf
Ta 180.95 Ta.upf
Cl 35.45 Cl.upf
CELL_PARAMETERS angstrom
6.741 0.000 0.000
0.000 7.061 0.000
-0.540 0.000 20.487
ATOMIC_POSITIONS crystal
Na 0.208 0.196 0.261
Na 0.208 0.304 0.761
Na 0.792 0.696 0.239
Na 0.792 0.804 0.739
Ta 0.265 0.710 0.621
Ta 0.265 0.790 0.121
Ta 0.735 0.210 0.879
Ta 0.735 0.290 0.379
Cl 0.018 0.028 0.841
Cl 0.018 0.472 0.341
Cl 0.095 0.513 0.165
Cl 0.095 0.987 0.665
Cl 0.115 0.738 0.021
Cl 0.115 0.762 0.521
Cl 0.397 0.662 0.735
Cl 0.397 0.838 0.235
Cl 0.415 0.069 0.091
Cl 0.415 0.431 0.591
Cl 0.459 0.105 0.398
Cl 0.459 0.395 0.898
Cl 0.541 0.605 0.102
Cl 0.541 0.895 0.602
Cl 0.585 0.569 0.409
Cl 0.585 0.931 0.909
Cl 0.603 0.162 0.765
Cl 0.603 0.338 0.265
Cl 0.885 0.238 0.479
Cl 0.885 0.262 0.979
Cl 0.905 0.013 0.335
Cl 0.905 0.487 0.835
Cl 0.982 0.528 0.659
Cl 0.982 0.972 0.159
! - Space-group type: P2_1/c (14)
! - Crystal system: monoclinic
! - ρ: 2.8 g/cm³
! - Raw formation energy: -1474 meV per atom
! - Volume: 30.47 Å³/atom
! - Energy above the most stable polymorph in this dataset: 0.00 eV per formula unit
! - Total moment: 0.00 μB per cell

! GGA-PBE Dy3Cu2Ag, relaxed; values from VASP
&SYSTEM
  ibrav = 0, nat = 6, ntyp = 3
/
ATOMIC_SPECIES
Dy 162.50 Dy.upf
Cu 63.55 Cu.upf
Ag 107.87 Ag.upf
CELL_PARAMETERS angstrom
3.511 0.000 0.000
0.000 3.511 0.000
0.000 0.000 10.665
ATOMIC_POSITIONS crystal
Dy 0.000 0.000 0.000
Dy 0.000 0.000 0.321
Dy 0.000 0.000 0.679
Cu 0.500 0.500 0.162
Cu 0.500 0.500 0.838
Ag 0.500 0.500 0.500
! - Space-group type: P4/mmm (123)
! - Crystal system: tetragonal
! - ρ: 9.1 g/cm³
! - Volume: 21.91 Å³/atom
! - ΔH_f (0 K): -159 kJ/mol of formula units
! - Total moment: 0.00 μB per cell

! GGA-PBE RbMg, relaxed; values from VASP
&SYSTEM
  ibrav = 0, nat = 16, ntyp = 2
/
ATOMIC_SPECIES
Rb 85.47 Rb.upf
Mg 24.30 Mg.upf
CELL_PARAMETERS angstrom
10.018 0.000 0.000
0.000 5.654 0.000
0.000 0.000 14.060
ATOMIC_POSITIONS crystal
Rb 0.041 0.250 0.124
Rb 0.202 0.750 0.330
Rb 0.298 0.250 0.830
Rb 0.459 0.750 0.624
Rb 0.541 0.250 0.376
Rb 0.702 0.750 0.170
Rb 0.798 0.250 0.670
Rb 0.959 0.750 0.876
Mg 0.062 0.750 0.585
Mg 0.182 0.250 0.549
Mg 0.318 0.750 0.049
Mg 0.438 0.250 0.085
Mg 0.562 0.750 0.915
Mg 0.682 0.250 0.951
Mg 0.818 0.750 0.451
Mg 0.938 0.250 0.415
! - Space-group type: Pnma (62)
! - Crystal system: orthorhombic
! - ρ: 1.8 g/cm³
! - Volume: 49.77 Å³/atom
! - ΔH_f (0 K): 36 kJ/mol of formula units
! - Total moment: 0.00 μB per cell